First-principles (PBE) data for crystalline Nd12Ga3N5 at its relaxed geometry, as listed in the Alexandria database.

Cell: 15.9855 15.9855 15.9855 Å, 90.00 90.00 90.00°
With the nearest neighbours (Å) after each atom.
Space group Ia-3d (No. 230)
Unique sites:
Nd1 0.0339 0.0535 0.6490 [96 per cell]  2 N 2.34-2.59
Ga1 0.0000 0.2500 0.1250 [24 per cell]  8 Nd 3.13-3.21
N1 0.0000 0.0000 0.0000 [16 per cell]  6 Nd 2.59
N2 0.0000 0.2500 0.3750 [24 per cell]  4 Nd 2.34

Values from the calculation:
* total energy: -986.23 eV per cell
* total magnetic moment: 0.00 μB per cell
* DOS(E_F): 15.94 states/eV/f.u.
* raw formation energy: -1482 kJ/mol of formula units
* theoretical density: 6.537 Mg/m³